Entry 1:
DFT (PBE-GGA) results for Tc2SbPt after structural relaxation.

Lattice parameters (Å, degrees): 8.826 8.826 8.826 19.35 19.35 19.35
Fractional positions:
Tc 0.249 0.249 0.249
Tc 0.751 0.751 0.751
Sb 0.500 0.500 0.500
Pt 0.000 0.000 0.000

Output
Formation energy without anion corrections, eV per atom: 0.31
Volume, Å³ per cell: 66
Crystal system: trigonal

***

Entry 2:
DFT (PBE-GGA) results for Y2SbMo after structural relaxation.

Lattice parameters (Å, degrees): 3.383 3.383 8.816 90.00 90.00 102.58
Fractional positions:
Y 0.000 0.000 0.229
Y 0.000 0.000 0.771
Sb 0.500 0.500 0.500
Mo 0.500 0.500 0.000

Output
Formation energy without anion corrections, eV per atom: -0.06
Volume, Å³ per cell: 98
Crystal system: orthorhombic

***

Entry 3:
DFT (PBE-GGA) results for Te2HOs after structural relaxation.

Lattice parameters (Å, degrees): 6.841 6.841 6.841 34.97 34.97 34.97
Fractional positions:
Te 0.102 0.102 0.102
Te 0.898 0.898 0.898
H 0.000 0.000 0.000
Os 0.500 0.500 0.500

Output
Offset from the most stable computed form, meV/atom: 0
Volume, Å³ per cell: 94
Crystal system: trigonal

***

Entry 4:
DFT (PBE-GGA) results for KNdHgAu after structural relaxation.

Lattice parameters (Å, degrees): 5.401 5.401 5.401 60.00 60.00 60.00
Fractional positions:
K 0.000 0.000 0.000
Nd 0.500 0.500 0.500
Hg 0.250 0.250 0.250
Au 0.750 0.750 0.750

Output
Electronic total energy, eV for the cell shown: -10.55
Volume, Å³ per cell: 111
Crystal system: cubic

***

Entry 5:
DFT (PBE-GGA) results for CaLa2SnH after structural relaxation.

Lattice parameters (Å, degrees): 4.981 4.981 5.160 90.00 90.00 90.00
Fractional positions:
Ca 0.000 0.000 0.000
La 0.000 0.500 0.500
La 0.500 0.000 0.500
Sn 0.500 0.500 0.000
H 0.000 0.000 0.500

Output
Electronic total energy, eV for the cell shown: -21.73
Volume, Å³ per cell: 128
Crystal system: tetragonal

***

Entry 6:
DFT (PBE-GGA) results for YIn after structural relaxation.

Lattice parameters (Å, degrees): 7.208 7.208 7.208 97.28 97.28 138.30
Fractional positions:
Y 0.000 0.300 0.300
Y 0.000 0.700 0.700
Y 0.300 0.000 0.300
Y 0.700 0.000 0.700
In 0.344 0.344 0.689
In 0.344 0.656 0.000
In 0.656 0.344 0.000
In 0.656 0.656 0.311

Output
Electronic total energy, eV for the cell shown: -38.56
Volume, Å³ per cell: 233
Crystal system: tetragonal

***

Entry 7:
DFT (PBE-GGA) results for CaGdIn2 after structural relaxation.

Lattice parameters (Å, degrees): 3.769 3.769 7.854 90.00 90.00 90.00
Fractional positions:
Ca 0.000 0.000 0.000
Gd 0.000 0.000 0.500
In 0.500 0.500 0.251
In 0.500 0.500 0.749

Output
Offset from the most stable computed form, meV/atom: 0
Volume, Å³ per cell: 112
Crystal system: tetragonal

***

Entry 8:
DFT (PBE-GGA) results for TmRe4C2 after structural relaxation.

Lattice parameters (Å, degrees): 7.028 7.028 3.950 90.00 90.00 147.27
Fractional positions:
Tm 0.000 0.000 0.000
Re 0.175 0.825 0.500
Re 0.317 0.683 0.000
Re 0.683 0.317 0.000
Re 0.825 0.175 0.500
C 0.371 0.629 0.500
C 0.629 0.371 0.500

Output
Electronic total energy, eV for the cell shown: -71.60
Volume, Å³ per cell: 105
Crystal system: orthorhombic

***

| no. | total magnetization (μB/f.u.) |
| --- | --- |
| 1 | 0.00 |
| 2 | 0.28 |
| 3 | 0.00 |
| 4 | 0.00 |
| 5 | 0.00 |
| 6 | 0.00 |
| 7 | 7.36 |
| 8 | 0.00 |